DFT (PBE-GGA) results for crystalline RbPSe6 at its relaxed geometry.

Total moment, μB/f.u.: 0.0
Formation energy from raw total energies, eV per formula unit: -2.8
Calculated density, g/cm3: 3.83

Unit cell a=7.0220 b=11.7414 c=12.4221 alpha=90.00 beta=90.00 gamma=90.00
Last column: nearest neighbours and their distance in Å.
Fractional positions:
1 Se 0.4474 0.9792 0.8694  2 Se 2.42-2.45
2 Se 0.1889 0.5155 0.9078  1 P 2.34, 1 Se 2.37
3 Se 0.7648 0.5562 0.5925  2 Se 2.37-2.45
4 Se 0.2352 0.0562 0.4075  2 Se 2.37-2.45
5 Se 0.4474 0.4792 0.6306  2 Se 2.42-2.45
6 Se 0.7434 0.1496 0.3489  1 P 2.29, 1 Se 2.42
7 Rb 0.3157 0.8671 0.1260  8 Se 3.57-3.97
8 Se 0.7434 0.6496 0.1511  1 P 2.29, 1 Se 2.42
9 Rb 0.6843 0.3671 0.8740  8 Se 3.57-3.97
10 Se 0.5526 0.9792 0.3694  2 Se 2.42-2.45
11 P 0.2909 0.6867 0.8307  4 Se 2.18-2.34
12 Se 0.8111 0.5155 0.4078  1 P 2.34, 1 Se 2.37
13 Se 0.5849 0.2193 0.6233  1 P 2.18
14 Se 0.4151 0.2193 0.1233  1 P 2.18
15 P 0.2909 0.1867 0.6693  4 Se 2.18-2.34
16 Se 0.1889 0.0155 0.5922  1 P 2.34, 1 Se 2.37
17 P 0.7091 0.1867 0.1693  4 Se 2.18-2.34
18 Se 0.5526 0.4792 0.1306  2 Se 2.42-2.45
19 Rb 0.3157 0.3671 0.3740  8 Se 3.57-3.97
20 Se 0.5849 0.7193 0.8767  1 P 2.18
21 Se 0.2352 0.5562 0.0925  2 Se 2.37-2.45
22 Se 0.4151 0.7193 0.3767  1 P 2.18
23 Se 0.2566 0.1496 0.8489  1 P 2.29, 1 Se 2.42
24 Se 0.2566 0.6496 0.6511  1 P 2.29, 1 Se 2.42
25 Se 0.8111 0.0155 0.0922  1 P 2.34, 1 Se 2.37
26 Se 0.0866 0.8245 0.8547  1 P 2.18
27 Se 0.9134 0.3245 0.1453  1 P 2.18
28 P 0.7091 0.6867 0.3307  4 Se 2.18-2.34
29 Se 0.9134 0.8245 0.3547  1 P 2.18
30 Se 0.0866 0.3245 0.6453  1 P 2.18
31 Rb 0.6843 0.8671 0.6260  8 Se 3.57-3.97
32 Se 0.7648 0.0562 0.9075  2 Se 2.37-2.45